Record 1
This record from Alexandria describes CsPdN2 at its PBEsol-relaxed geometry. The functional is meta-GGA SCAN.

```
CsPdN2
1.0
1.686 0.973 6.794
-1.686 0.973 6.794
0.000 -1.947 6.794
Cs Pd N
1 1 2
Direct
0.000 0.000 0.000 Cs
0.500 0.500 0.500 Pd
0.128 0.128 0.128 N
0.872 0.872 0.872 N
```

Properties
For the uncorrected formation energy, the calculation gives 1.074 eV per atom. The total energy is -84.87 eV per cell. As for the density: 6.64 g/cm3.

Record 2
This record from Alexandria describes AlVF5 at its PBEsol-relaxed geometry. The functional is meta-GGA SCAN.

```
AlVF5
1.0
-1.768 3.085 3.783
1.768 -3.085 3.783
1.768 3.085 -3.783
Al V F
1 1 5
Direct
0.000 0.000 0.000 Al
0.500 0.500 0.000 V
0.000 0.500 0.500 F
0.235 0.235 0.000 F
0.300 0.000 0.300 F
0.700 0.000 0.700 F
0.765 0.765 0.000 F
```

Properties
For the uncorrected formation energy, the calculation gives -3.459 eV per atom. The total energy is -67.15 eV per cell. As for the density: 3.48 g/cm3.

Record 3
This record from Alexandria describes Zr3TlNi at its PBEsol-relaxed geometry. The functional is meta-GGA SCAN.

```
Zr3TlNi
1.0
5.220 0.000 0.000
0.000 5.220 0.000
0.000 0.000 5.220
Zr Tl Ni
3 1 1
Direct
0.000 0.000 0.500 Zr
0.000 0.500 0.000 Zr
0.500 0.000 0.000 Zr
0.000 0.000 0.000 Tl
0.500 0.500 0.500 Ni
```

Properties
The total energy is -173.57 eV per cell. The value obtained for the energy of formation is 7.06 eV/f.u. As for the density: 6.27 g/cm3.

Record 4
This record from Alexandria describes LaSb2SN at its PBEsol-relaxed geometry. The functional is meta-GGA SCAN.

```
LaSb2SN
1.0
6.158 0.000 0.000
0.000 6.158 0.000
0.000 0.000 5.382
La Sb S N
1 2 1 1
Direct
0.000 0.000 0.000 La
0.000 0.500 0.000 Sb
0.500 0.000 0.000 Sb
0.000 0.000 0.500 S
0.500 0.500 0.500 N
```

Properties
For the uncorrected formation energy, the calculation gives 1.112 eV per atom. The total energy is -130.98 eV per cell. As for the density: 3.49 g/cm3.

Record 5
This record from Alexandria describes Y2HgSe at its PBEsol-relaxed geometry. The functional is meta-GGA SCAN.

```
Y2HgSe
1.0
-1.802 1.878 7.531
1.802 -1.878 7.531
1.802 1.878 -7.531
Y Hg Se
2 1 1
Direct
0.000 0.000 0.000 Y
0.735 0.235 0.500 Y
0.338 0.838 0.500 Hg
0.584 0.584 0.000 Se
```

Properties
For the uncorrected formation energy, the calculation gives -1.155 eV per atom. Its offset from the most stable computed form is 215 meV/atom. The total energy is -148.55 eV per cell. As for the density: 7.45 g/cm3.

Record 6
This record from Alexandria describes SrIn2Au at its PBEsol-relaxed geometry. The functional is meta-GGA SCAN.

```
SrIn2Au
1.0
4.074 0.000 0.000
0.000 4.783 0.000
-1.341 0.000 5.452
Sr In Au
1 2 1
Direct
0.000 0.000 0.000 Sr
0.344 0.500 0.713 In
0.656 0.500 0.287 In
0.500 0.000 0.500 Au
```

Properties
The total energy is -160.35 eV per cell. The value obtained for the energy of formation is -2.15 eV/f.u. As for the density: 8.04 g/cm3.

Record 7
This record from Alexandria describes LaCoN2 at its PBEsol-relaxed geometry. The functional is meta-GGA SCAN.

```
LaCoN2
1.0
1.998 1.153 5.132
-1.998 1.153 5.132
0.000 -2.307 5.132
La Co N
1 1 2
Direct
0.000 0.000 0.000 La
0.500 0.500 0.500 Co
0.393 0.393 0.393 N
0.607 0.607 0.607 N
```

Properties
For the uncorrected formation energy, the calculation gives -0.437 eV per atom. The total energy is -80.74 eV per cell. As for the density: 5.29 g/cm3.

Record 8
This record from Alexandria describes SrFe2Pb at its PBEsol-relaxed geometry. The functional is meta-GGA SCAN.

```
SrFe2Pb
1.0
3.605 0.000 0.000
0.000 3.605 0.000
0.000 0.000 6.692
Sr Fe Pb
1 2 1
Direct
0.000 0.000 0.000 Sr
0.500 0.500 0.332 Fe
0.500 0.500 0.668 Fe
0.000 0.000 0.500 Pb
```

Properties
The total energy is -132.25 eV per cell. The value obtained for the energy of formation is 2.07 eV/f.u. As for the density: 7.76 g/cm3.

Record 9
This record from Alexandria describes CoMo2Pt at its PBEsol-relaxed geometry. The functional is meta-GGA SCAN.

```
CoMo2Pt
1.0
-1.863 1.863 3.946
1.863 -1.863 3.946
1.863 1.863 -3.946
Co Mo Pt
1 2 1
Direct
0.000 0.000 0.000 Co
0.250 0.750 0.500 Mo
0.750 0.250 0.500 Mo
0.500 0.500 0.000 Pt
```

Properties
Its offset from the most stable computed form is 0 meV/atom. The total energy is -157.93 eV per cell. The value obtained for the energy of formation is -0.66 eV/f.u. As for the density: 13.51 g/cm3.

Record 10
This record from Alexandria describes Ti4Co4Si7 at its PBEsol-relaxed geometry. The functional is meta-GGA SCAN.

```
Ti4Co4Si7
1.0
-6.193 6.193 2.436
6.193 -6.193 2.436
6.193 6.193 -2.436
Ti Co Si
8 8 14
Direct
0.000 0.193 0.193 Ti
0.000 0.807 0.807 Ti
0.193 0.000 0.193 Ti
0.364 0.364 0.729 Ti
0.364 0.636 0.000 Ti
0.636 0.364 0.000 Ti
0.636 0.636 0.271 Ti
0.807 0.000 0.807 Ti
0.100 0.600 0.201 Co
0.100 0.900 0.500 Co
0.400 0.600 0.500 Co
0.400 0.900 0.799 Co
0.600 0.100 0.201 Co
0.600 0.400 0.500 Co
0.900 0.100 0.500 Co
0.900 0.400 0.799 Co
0.000 0.405 0.405 Si
0.000 0.595 0.595 Si
0.206 0.500 0.706 Si
0.207 0.207 0.413 Si
0.207 0.793 0.000 Si
0.250 0.250 0.000 Si
0.405 0.000 0.405 Si
0.500 0.206 0.706 Si
0.500 0.794 0.294 Si
0.595 0.000 0.595 Si
0.750 0.750 0.000 Si
0.793 0.207 0.000 Si
0.793 0.793 0.587 Si
0.794 0.500 0.294 Si
```

Properties
For the uncorrected formation energy, the calculation gives -0.737 eV per atom. The total energy is -429.01 eV per cell. As for the density: 5.54 g/cm3.

Record 11
This record from Alexandria describes SiAg4O4 at its PBEsol-relaxed geometry. The functional is meta-GGA SCAN.

```
SiAg4O4
1.0
7.394 0.000 0.000
0.000 7.394 0.000
0.000 0.000 4.642
Si Ag O
2 8 8
Direct
0.250 0.250 0.250 Si
0.750 0.750 0.750 Si
0.078 0.640 0.206 Ag
0.140 0.922 0.706 Ag
0.360 0.578 0.706 Ag
0.422 0.860 0.206 Ag
0.578 0.140 0.794 Ag
0.640 0.422 0.294 Ag
0.860 0.078 0.294 Ag
0.922 0.360 0.794 Ag
0.078 0.185 0.050 O
0.185 0.422 0.450 O
0.315 0.078 0.450 O
0.422 0.315 0.050 O
0.578 0.685 0.950 O
0.685 0.922 0.550 O
0.815 0.578 0.550 O
0.922 0.815 0.950 O
```

Properties
For the uncorrected formation energy, the calculation gives -1.118 eV per atom. The total energy is -340.94 eV per cell. As for the density: 6.85 g/cm3.

Record 12
This record from Alexandria describes TbRe2 at its PBEsol-relaxed geometry. The functional is meta-GGA SCAN.

```
TbRe2
1.0
5.377 0.000 0.000
-2.688 4.657 0.000
0.000 0.000 8.729
Tb Re
4 8
Direct
0.333 0.667 0.062 Tb
0.333 0.667 0.438 Tb
0.667 0.333 0.562 Tb
0.667 0.333 0.938 Tb
0.000 0.000 0.000 Re
0.000 0.000 0.500 Re
0.171 0.341 0.750 Re
0.171 0.829 0.750 Re
0.341 0.171 0.250 Re
0.659 0.829 0.750 Re
0.829 0.171 0.250 Re
0.829 0.659 0.250 Re
```

Properties
The total energy is -759.21 eV per cell. The value obtained for the energy of formation is -0.84 eV/f.u. As for the density: 16.15 g/cm3.

Which formula does entry 9 have? CoMo2Pt

What is the formula in the tenth record? Ti4Co4Si7

Repeat the twelfth record exactly.
This record from Alexandria describes TbRe2 at its PBEsol-relaxed geometry. The functional is meta-GGA SCAN.

```
TbRe2
1.0
5.377 0.000 0.000
-2.688 4.657 0.000
0.000 0.000 8.729
Tb Re
4 8
Direct
0.333 0.667 0.062 Tb
0.333 0.667 0.438 Tb
0.667 0.333 0.562 Tb
0.667 0.333 0.938 Tb
0.000 0.000 0.000 Re
0.000 0.000 0.500 Re
0.171 0.341 0.750 Re
0.171 0.829 0.750 Re
0.341 0.171 0.250 Re
0.659 0.829 0.750 Re
0.829 0.171 0.250 Re
0.829 0.659 0.250 Re
```

Properties
The total energy is -759.21 eV per cell. The value obtained for the energy of formation is -0.84 eV/f.u. As for the density: 16.15 g/cm3.